[1]
VASP calculation (PBE-GGA) on an optimized crystal structure of LiTbSmEu.

Lattice parameters (Å, degrees): 5.6683 5.6683 5.6683 60.00 60.00 60.00
Fractional positions:
Sm 0.2500 0.2500 0.2500
Eu 0.7500 0.7500 0.7500
Li 0.0000 0.0000 0.0000
Tb 0.5000 0.5000 0.5000

Calculated values
ΔH_f (0 K): 0.21 eV/atom
Crystal system: cubic
E: -5.17 eV per atom
DOS(E_F): 4.73 states/eV per cell
Space-group type: F-43m

[2]
VASP calculation (PBE-GGA) on an optimized crystal structure of Mn2ZnAu2.

Lattice parameters (Å, degrees): 7.2557 7.2557 3.3099 90.00 90.00 90.00
Fractional positions:
Zn 0.0000 0.0000 0.0000
Zn 0.5000 0.5000 0.0000
Au 0.3515 0.1485 0.5000
Au 0.8515 0.3515 0.5000
Au 0.1485 0.6485 0.5000
Au 0.6485 0.8515 0.5000
Mn 0.3518 0.8518 0.0000
Mn 0.1482 0.3518 0.0000
Mn 0.8518 0.6482 0.0000
Mn 0.6482 0.1482 0.0000

Calculated values
ΔH_f (0 K): 0.13 eV/atom
Crystal system: tetragonal
E: -5.10 eV per atom
DOS(E_F): 5.60 states/eV per cell
Space-group type: P4/mbm

[3]
VASP calculation (PBE-GGA) on an optimized crystal structure of HfTh3H.

Lattice parameters (Å, degrees): 4.9721 4.9721 4.9721 90.00 90.00 90.00
Fractional positions:
Th 0.0000 0.0000 0.5000
Th 0.5000 0.0000 0.0000
Th 0.0000 0.5000 0.0000
Hf 0.5000 0.5000 0.5000
H 0.0000 0.0000 0.0000

Calculated values
Crystal system: cubic
E: -7.08 eV per atom
DOS(E_F): 7.40 states/eV per cell
Space-group type: Pm-3m

[4]
VASP calculation (PBE-GGA) on an optimized crystal structure of SrLiSi.

Lattice parameters (Å, degrees): 6.0483 6.0483 3.6730 72.32 72.32 35.35
Fractional positions:
Si 0.3673 0.3673 0.6327
Sr 0.6780 0.6780 0.3220
Li 0.9547 0.9547 0.0453

Calculated values
Crystal system: tetragonal
E_form (uncorrected): -0.043 eV/atom
E: -3.05 eV per atom
DOS(E_F): 1.49 states/eV per cell
Space-group type: I4mm

[5]
VASP calculation (PBE-GGA) on an optimized crystal structure of Mg2SbAs2.

Lattice parameters (Å, degrees): 7.8130 7.8130 3.6029 90.00 90.00 90.00
Fractional positions:
Mg 0.1402 0.6402 0.5000
Mg 0.6402 0.8598 0.5000
Mg 0.3598 0.1402 0.5000
Mg 0.8598 0.3598 0.5000
Sb 0.0000 0.0000 0.0000
Sb 0.5000 0.5000 0.0000
As 0.8350 0.6650 0.0000
As 0.3350 0.8350 0.0000
As 0.6650 0.1650 0.0000
As 0.1650 0.3350 0.0000

Calculated values
Crystal system: tetragonal
E_form (uncorrected): -0.197 eV/atom
E: -3.52 eV per atom
DOS(E_F): 3.16 states/eV per cell
Space-group type: P4/mbm

[6]
VASP calculation (PBE-GGA) on an optimized crystal structure of LiTa2.

Lattice parameters (Å, degrees): 7.6411 7.6411 4.8943 90.00 90.00 158.57
Fractional positions:
Ta 0.0562 0.9438 0.2500
Ta 0.9438 0.0562 0.7500
Ta 0.2833 0.7167 0.7500
Ta 0.7167 0.2833 0.2500
Li 0.6138 0.3862 0.7500
Li 0.3862 0.6138 0.2500

Calculated values
ΔH_f (0 K): 0.45 eV/atom
Crystal system: orthorhombic
E: -8.09 eV per atom
DOS(E_F): 3.93 states/eV per cell
Space-group type: Cmcm